Entry 1:
Entry from Alexandria via LeMat-Bulk: a geometry-optimized SiOF2 structure (PBE).

Crystal system: tetragonal
Offset from the most stable computed form, meV/atom: 2307
Raw formation energy, eV per atom: -0.70

```
data_SiOF2
_symmetry_space_group_name_H-M 'I -4 2 d'
_symmetry_Int_Tables_number 122
_symmetry_space_group_name_Hall 'I -4 2bw'
_cell_length_a 3.213
_cell_length_b 3.213
_cell_length_c 14.080
_cell_angle_alpha 90.00
_cell_angle_beta 90.00
_cell_angle_gamma 90.00
loop_
_atom_site_label
_atom_site_fract_x
_atom_site_fract_y
_atom_site_fract_z
_atom_site_occupancy
Si1 0.000 0.000 0.000 1
O1 0.000 0.000 0.500 1
F1 0.214 0.250 0.125 1
```

***

Entry 2:
Entry from Alexandria via LeMat-Bulk: a geometry-optimized TaMoW2 structure (PBE).

Calculated formation energy, eV per atom: -0.09
Crystal system: tetragonal
Offset from the most stable computed form, meV/atom: 42

```
data_TaMoW2
_symmetry_space_group_name_H-M 'P 4/m m m'
_symmetry_Int_Tables_number 123
_symmetry_space_group_name_Hall '-P 4 2'
_cell_length_a 3.205
_cell_length_b 3.205
_cell_length_c 6.438
_cell_angle_alpha 90.00
_cell_angle_beta 90.00
_cell_angle_gamma 90.00
loop_
_atom_site_label
_atom_site_fract_x
_atom_site_fract_y
_atom_site_fract_z
_atom_site_occupancy
Ta1 0.000 0.000 0.000 1
Mo1 0.000 0.000 0.500 1
W1 0.500 0.500 0.256 1
```

***

Entry 3:
Entry from Alexandria via LeMat-Bulk: a geometry-optimized PdAu2F8 structure (PBE).

Crystal system: monoclinic
Offset from the most stable computed form, meV/atom: 0
Raw formation energy, eV per atom: -1.07

```
data_PdAu2F8
_symmetry_space_group_name_H-M 'P 1 21/c 1'
_symmetry_Int_Tables_number 14
_symmetry_space_group_name_Hall '-P 2ybc'
_cell_length_a 5.500
_cell_length_b 11.146
_cell_length_c 7.703
_cell_angle_alpha 90.00
_cell_angle_beta 132.74
_cell_angle_gamma 90.00
loop_
_atom_site_label
_atom_site_fract_x
_atom_site_fract_y
_atom_site_fract_z
_atom_site_occupancy
Pd1 0.000 0.000 0.000 1
Au1 0.272 0.186 0.532 1
F1 0.038 0.599 0.278 1
F2 0.073 0.156 0.868 1
F3 0.442 0.728 0.168 1
F4 0.474 0.030 0.698 1
```

***

Entry 4:
Entry from Alexandria via LeMat-Bulk: a geometry-optimized ZnMoW2 structure (PBE).

Calculated formation energy, eV per atom: 0.33
Crystal system: monoclinic

```
data_ZnMoW2
_symmetry_space_group_name_H-M 'C 1 m 1'
_symmetry_Int_Tables_number 8
_symmetry_space_group_name_Hall 'C -2y'
_cell_length_a 9.310
_cell_length_b 2.671
_cell_length_c 5.107
_cell_angle_alpha 90.00
_cell_angle_beta 95.65
_cell_angle_gamma 90.00
loop_
_atom_site_label
_atom_site_fract_x
_atom_site_fract_y
_atom_site_fract_z
_atom_site_occupancy
Zn1 0.000 0.000 0.000 1
Mo1 0.247 0.500 0.242 1
W1 0.001 0.500 0.499 1
W2 0.254 0.000 0.753 1
```

***

What did we get for total energy? Answer: -4.227, -12.237, -3.498, -9.176 eV/atom, in the order shown.